The following is a DFT calculation (meta-GGA SCAN) of a crystal of TeS2IBr relaxed with PBEsol.

```
TeS2IBr
1.0
5.085 0.000 0.000
0.000 5.085 0.000
0.000 0.000 5.422
Te S I Br
1 2 1 1
Direct
0.000 0.000 0.000
0.000 0.500 0.000
0.500 0.000 0.000
0.500 0.500 0.500
0.000 0.000 0.500
```

Summary:
raw formation energy	480	meV per atom

The following is a DFT calculation (meta-GGA SCAN) of a crystal of K2ReI relaxed with PBEsol.

```
K2ReI
1.0
8.267 0.000 0.000
0.000 8.267 0.000
0.000 0.000 8.267
K Re I
8 4 4
Direct
0.250 0.250 0.250
0.250 0.250 0.750
0.250 0.750 0.250
0.250 0.750 0.750
0.750 0.250 0.250
0.750 0.250 0.750
0.750 0.750 0.250
0.750 0.750 0.750
0.000 0.000 0.000
0.000 0.500 0.500
0.500 0.000 0.500
0.500 0.500 0.000
0.000 0.000 0.500
0.000 0.500 0.000
0.500 0.000 0.000
0.500 0.500 0.500
```

Summary:
raw formation energy	935	meV per atom

The following is a DFT calculation (meta-GGA SCAN) of a crystal of SrCaTe2 relaxed with PBEsol.

```
SrCaTe2
1.0
4.565 0.000 0.000
-2.282 3.953 0.000
0.000 0.000 22.370
Sr Ca Te
3 3 6
Direct
0.000 0.000 0.000
0.333 0.667 0.667
0.667 0.333 0.333
0.000 0.000 0.500
0.333 0.667 0.167
0.667 0.333 0.833
0.000 0.000 0.246
0.000 0.000 0.754
0.333 0.667 0.421
0.333 0.667 0.912
0.667 0.333 0.088
0.667 0.333 0.579
```

Summary:
raw formation energy	-1888	meV per atom
energy above the most stable polymorph in this dataset	0.000	eV per formula unit

| no. | total energy (eV per cell) |
| --- | --- |
| 1 | -110.308 |
| 2 | -483.025 |
| 3 | -341.979 |